Material: Ca6Cd2Ir
Method: DFT, PBE-GGA
State: relaxed

ΔH_f (0 K)   -224 kJ/mol of formula units
Fermi-level density of states   10.94 states/eV/cell
Total magnetization   0.0 μB per formula unit

Geometry as POSCAR:
```
Ca6Cd2Ir
1.0
6.7020 0.0000 0.0000
0.0000 8.4582 0.0000
-6.5015 0.0000 10.4790
Ca Cd Ir
12 4 2
direct
0.0862 0.1929 0.4484
0.0862 0.3071 0.9484
0.2992 0.6674 0.4488
0.2992 0.8326 0.9488
0.3624 0.0278 0.2510
0.3624 0.4722 0.7510
0.6376 0.5278 0.2490
0.6376 0.9722 0.7490
0.7008 0.1674 0.0512
0.7008 0.3326 0.5512
0.9138 0.6929 0.0516
0.9138 0.8071 0.5516
0.1622 0.1115 0.7430
0.1622 0.3885 0.2430
0.8378 0.6115 0.7570
0.8378 0.8885 0.2570
0.0000 0.0000 0.0000
0.0000 0.5000 0.5000
```



Material: NbN2Cl
Method: DFT, PBE-GGA
State: relaxed

Energy relative to the elements, uncorrected   1.31 eV per atom
Energy above the lowest structure with this stoichiometry   1342 meV/atom
Fermi-level density of states   3.40 states/eV/cell
Total magnetization   0.0 μB per formula unit

Geometry as POSCAR:
```
NbN2Cl
1.0
0.0000 2.8077 2.8077
2.8077 0.0000 2.8077
2.8077 2.8077 0.0000
Nb N Cl
1 2 1
direct
0.0000 0.0000 0.0000
0.2500 0.2500 0.2500
0.7500 0.7500 0.7500
0.5000 0.5000 0.5000
```



Material: TlAg
Method: DFT, PBE-GGA
State: relaxed

ΔH_f (0 K)   24 kJ/mol of formula units
Fermi-level density of states   4.13 states/eV/cell
Total magnetization   0.0 μB per formula unit

Geometry as POSCAR:
```
TlAg
1.0
8.7572 0.0000 0.0000
-4.3786 7.5840 0.0000
0.0000 0.0000 4.6908
Tl Ag
6 6
direct
0.1733 0.3466 0.2500
0.1733 0.8267 0.2500
0.3466 0.1733 0.7500
0.6534 0.8267 0.2500
0.8267 0.1733 0.7500
0.8267 0.6534 0.7500
0.1178 0.5589 0.7500
0.4411 0.5589 0.7500
0.4411 0.8822 0.7500
0.5589 0.1178 0.2500
0.5589 0.4411 0.2500
0.8822 0.4411 0.2500
```



Material: HoCd2Pd5
Method: DFT, PBE-GGA
State: relaxed

ΔH_f (0 K)   -389 kJ/mol of formula units
Energy above the lowest structure with this stoichiometry   112 meV/atom
Fermi-level density of states   4.46 states/eV/cell
Total magnetization   0.0 μB per formula unit

Geometry as POSCAR:
```
HoCd2Pd5
1.0
-3.6226 3.6226 5.5339
3.6226 -3.6226 5.5339
3.6226 3.6226 -5.5339
Ho Cd Pd
2 4 10
direct
0.2500 0.2500 0.0000
0.7500 0.7500 0.0000
0.1527 0.6527 0.8054
0.3473 0.1527 0.5000
0.6527 0.8473 0.5000
0.8473 0.3473 0.1946
0.0000 0.0000 0.0000
0.0234 0.8099 0.5000
0.1901 0.6901 0.2135
0.3099 0.5234 0.5000
0.4766 0.9766 0.7865
0.5000 0.5000 0.0000
0.5234 0.0234 0.2135
0.6901 0.4766 0.5000
0.8099 0.3099 0.7865
0.9766 0.1901 0.5000
```



Material: La3Tb2Y6Th
Method: DFT, PBE-GGA
State: relaxed

ΔH_f (0 K)   22 kJ/mol of formula units
Fermi-level density of states   16.06 states/eV/cell
Total magnetization   0.0 μB per formula unit

Geometry as POSCAR:
```
La3Tb2Y6Th
1.0
3.1338 -5.4270 0.0000
3.1338 5.4270 0.0000
-2.0918 0.0000 11.7282
La Tb Y Th
3 2 6 1
direct
0.0000 0.0000 0.0000
0.3325 0.6675 0.0000
0.6675 0.3325 0.0000
0.1667 0.8333 0.5000
0.8333 0.1667 0.5000
0.0883 0.4185 0.2555
0.2515 0.2515 0.7446
0.4185 0.0883 0.2555
0.5815 0.9117 0.7445
0.7485 0.7485 0.2554
0.9117 0.5815 0.7445
0.5000 0.5000 0.5000
```



Material: ScBeTc
Method: DFT, PBE-GGA
State: relaxed

ΔH_f (0 K)   328 kJ/mol of formula units
Energy above the lowest structure with this stoichiometry   1419 meV/atom
Fermi-level density of states   6.04 states/eV/cell
Total magnetization   0.7 μB per formula unit

Geometry as POSCAR:
```
ScBeTc
1.0
0.0000 2.9953 2.9953
2.9953 0.0000 2.9953
2.9953 2.9953 0.0000
Sc Be Tc
1 1 1
direct
0.0000 0.0000 0.0000
0.7500 0.7500 0.7500
0.2500 0.2500 0.2500
```



Material: LaGaTe
Method: DFT, PBE-GGA
State: relaxed

Energy relative to the elements, uncorrected   -0.91 eV per atom
Fermi-level density of states   1.56 states/eV/cell
Total magnetization   0.0 μB per formula unit

Geometry as POSCAR:
```
LaGaTe
1.0
2.2363 1.2912 11.9569
-2.2363 1.2912 11.9569
0.0000 -2.5823 11.9569
La Ga Te
2 2 2
direct
0.0668 0.0668 0.0668
0.9332 0.9332 0.9332
0.3352 0.3352 0.3352
0.6648 0.6648 0.6648
0.2189 0.2189 0.2189
0.7811 0.7811 0.7811
```



Material: TlRe2Cl
Method: DFT, PBE-GGA
State: relaxed

Energy relative to the elements, uncorrected   0.94 eV per atom
Energy above the lowest structure with this stoichiometry   716 meV/atom
Fermi-level density of states   4.68 states/eV/cell
Total magnetization   0.0 μB per formula unit

Geometry as POSCAR:
```
TlRe2Cl
1.0
5.5368 -1.4528 0.0000
5.5368 1.4528 0.0000
-5.3065 0.0000 5.9717
Tl Re Cl
1 2 1
direct
0.0000 0.0000 0.0000
0.2220 0.2220 0.8494
0.7780 0.7780 0.1506
0.5000 0.5000 0.5000
```



Material: TeCl3O
Method: DFT, PBE-GGA
State: relaxed

Energy relative to the elements, uncorrected   0.52 eV per atom
Energy above the lowest structure with this stoichiometry   1020 meV/atom
Fermi-level density of states   10.63 states/eV/cell
Total magnetization   0.0 μB per formula unit

Geometry as POSCAR:
```
TeCl3O
1.0
5.1960 0.0000 0.0000
0.0000 5.1960 0.0000
0.0000 0.0000 5.1960
Te Cl O
1 3 1
direct
0.0000 0.0000 0.0000
0.0000 0.0000 0.5000
0.0000 0.5000 0.0000
0.5000 0.0000 0.0000
0.5000 0.5000 0.5000
```



Material: La5Tl2HgIr2
Method: DFT, PBE-GGA
State: relaxed

ΔH_f (0 K)   -534 kJ/mol of formula units
Fermi-level density of states   15.52 states/eV/cell
Total magnetization   0.0 μB per formula unit

Geometry as POSCAR:
```
La5Tl2HgIr2
1.0
12.3904 0.0000 0.0000
0.0000 12.3904 0.0000
0.0000 0.0000 3.8823
La Tl Hg Ir
10 4 2 4
direct
0.0000 0.5000 0.0000
0.0737 0.2093 0.0000
0.2093 0.9263 0.0000
0.2907 0.4263 0.0000
0.4263 0.7093 0.0000
0.5000 0.0000 0.0000
0.5737 0.2907 0.0000
0.7093 0.5737 0.0000
0.7907 0.0737 0.0000
0.9263 0.7907 0.0000
0.1768 0.6768 0.5000
0.3232 0.1768 0.5000
0.6768 0.8232 0.5000
0.8232 0.3232 0.5000
0.0000 0.0000 0.5000
0.5000 0.5000 0.5000
0.1310 0.3690 0.5000
0.3690 0.8690 0.5000
0.6310 0.1310 0.5000
0.8690 0.6310 0.5000
```



Material: CsZnIn
Method: DFT, PBE-GGA
State: relaxed

ΔH_f (0 K)   22 kJ/mol of formula units
Energy above the lowest structure with this stoichiometry   109 meV/atom
Fermi-level density of states   1.16 states/eV/cell
Total magnetization   0.0 μB per formula unit

Geometry as POSCAR:
```
CsZnIn
1.0
-1.9494 1.9494 6.8962
1.9494 -1.9494 6.8962
1.9494 1.9494 -6.8962
Cs Zn In
1 1 1
direct
0.0000 0.0000 0.0000
0.7128 0.7128 0.0000
0.2823 0.2823 0.0000
```



Material: Ba2PtI
Method: DFT, PBE-GGA
State: relaxed

Energy relative to the elements, uncorrected   -1.14 eV per atom
Energy above the lowest structure with this stoichiometry   2 meV/atom
Fermi-level density of states   5.30 states/eV/cell
Total magnetization   0.0 μB per formula unit

Geometry as POSCAR:
```
Ba2PtI
1.0
4.6238 0.0000 0.0000
-2.3119 4.0043 0.0000
0.0000 0.0000 17.4872
Ba Pt I
4 2 2
direct
0.3333 0.6667 0.0996
0.3333 0.6667 0.4004
0.6667 0.3333 0.5996
0.6667 0.3333 0.9004
0.0000 0.0000 0.0000
0.0000 0.0000 0.5000
0.3333 0.6667 0.7500
0.6667 0.3333 0.2500
```



Material: Sc3CuAg
Method: DFT, PBE-GGA
State: relaxed

ΔH_f (0 K)   305 kJ/mol of formula units
Fermi-level density of states   10.50 states/eV/cell
Total magnetization   0.7 μB per formula unit

Geometry as POSCAR:
```
Sc3CuAg
1.0
5.1455 0.0000 0.0000
0.0000 5.1455 0.0000
0.0000 0.0000 5.1455
Sc Cu Ag
3 1 1
direct
0.0000 0.0000 0.5000
0.0000 0.5000 0.0000
0.5000 0.0000 0.0000
0.5000 0.5000 0.5000
0.0000 0.0000 0.0000
```



Material: PaTaAsN
Method: DFT, PBE-GGA
State: relaxed

Energy relative to the elements, uncorrected   -1.15 eV per atom
Fermi-level density of states   4.99 states/eV/cell
Total magnetization   0.0 μB per formula unit

Geometry as POSCAR:
```
PaTaAsN
1.0
3.9392 0.0000 0.0000
0.0000 3.9392 0.0000
0.0000 0.0000 8.9913
Pa Ta As N
2 2 2 2
direct
0.2500 0.2500 0.1328
0.7500 0.7500 0.8672
0.2500 0.7500 0.5000
0.7500 0.2500 0.5000
0.2500 0.2500 0.7042
0.7500 0.7500 0.2958
0.2500 0.7500 0.0000
0.7500 0.2500 0.0000
```



Material: Sb2HF
Method: DFT, PBE-GGA
State: relaxed

Energy above the lowest structure with this stoichiometry   0 meV/atom
Fermi-level density of states   5.73 states/eV/cell
Total magnetization   0.0 μB per formula unit

Geometry as POSCAR:
```
Sb2HF
1.0
-2.7988 2.7988 4.9095
2.7988 -2.7988 4.9095
2.7988 2.7988 -4.9095
Sb H F
4 2 2
direct
0.0533 0.6250 0.9283
0.3750 0.3033 0.4283
0.6967 0.1250 0.0717
0.8750 0.9467 0.5717
0.0000 0.0000 0.0000
0.7500 0.2500 0.5000
0.2500 0.7500 0.5000
0.5000 0.5000 0.0000
```



Material: MnRe2Ru
Method: DFT, PBE-GGA
State: relaxed

ΔH_f (0 K)   18 kJ/mol of formula units
Energy above the lowest structure with this stoichiometry   42 meV/atom
Fermi-level density of states   3.35 states/eV/cell
Total magnetization   1.1 μB per formula unit

Geometry as POSCAR:
```
MnRe2Ru
1.0
-1.9043 1.9043 3.8402
1.9043 -1.9043 3.8402
1.9043 1.9043 -3.8402
Mn Re Ru
1 2 1
direct
0.0000 0.0000 0.0000
0.2500 0.7500 0.5000
0.7500 0.2500 0.5000
0.5000 0.5000 0.0000
```



Material: Pa2FeCo12B3
Method: DFT, PBE-GGA
State: relaxed

ΔH_f (0 K)   75 kJ/mol of formula units
Fermi-level density of states   21.00 states/eV/cell
Total magnetization   10.1 μB per formula unit

Geometry as POSCAR:
```
Pa2FeCo12B3
1.0
3.5007 2.0211 5.1859
-3.5007 2.0211 5.1859
0.0000 -4.0423 5.1859
Pa Fe Co B
2 1 12 3
direct
0.0980 0.0980 0.0980
0.9020 0.9020 0.9020
0.5000 0.5000 0.5000
0.0700 0.6530 0.6530
0.2325 0.2325 0.6344
0.2325 0.6344 0.2325
0.3470 0.3470 0.9300
0.3470 0.9300 0.3470
0.3656 0.7675 0.7675
0.6344 0.2325 0.2325
0.6530 0.0700 0.6530
0.6530 0.6530 0.0700
0.7675 0.3656 0.7675
0.7675 0.7675 0.3656
0.9300 0.3470 0.3470
0.0000 0.5000 0.5000
0.5000 0.0000 0.5000
0.5000 0.5000 0.0000
```



Material: Mn2Au3
Method: DFT, PBE-GGA
State: relaxed

ΔH_f (0 K)   77 kJ/mol of formula units
Energy above the lowest structure with this stoichiometry   221 meV/atom
Fermi-level density of states   3.34 states/eV/cell
Total magnetization   7.2 μB per formula unit

Geometry as POSCAR:
```
Mn2Au3
1.0
1.4491 0.8366 11.5020
-1.4491 0.8366 11.5020
0.0000 -1.6733 11.5020
Mn Au
2 3
direct
0.1970 0.1970 0.1970
0.8030 0.8030 0.8030
0.0000 0.0000 0.0000
0.4057 0.4057 0.4057
0.5943 0.5943 0.5943
```



Material: Mn2FeRhI
Method: DFT, PBE-GGA
State: relaxed

Energy relative to the elements, uncorrected   0.85 eV per atom
Fermi-level density of states   4.88 states/eV/cell
Total magnetization   12.4 μB per formula unit

Geometry as POSCAR:
```
Mn2FeRhI
1.0
4.9209 0.0000 0.0000
0.0000 4.9209 0.0000
0.0000 0.0000 4.6982
Mn Fe Rh I
2 1 1 1
direct
0.0000 0.5000 0.0000
0.5000 0.0000 0.0000
0.0000 0.0000 0.5000
0.0000 0.0000 0.0000
0.5000 0.5000 0.5000
```



Material: Ag3RhCl8
Method: DFT, PBE-GGA
State: relaxed

Energy relative to the elements, uncorrected   -0.45 eV per atom
Fermi-level density of states   9.12 states/eV/cell
Total magnetization   0.6 μB per formula unit

Geometry as POSCAR:
```
Ag3RhCl8
1.0
3.5138 -5.7387 0.0000
3.5138 5.7387 0.0000
0.0000 0.0000 7.6694
Ag Rh Cl
3 1 8
direct
0.0000 0.0000 0.0000
0.0000 0.5000 0.7526
0.5000 0.0000 0.2474
0.0000 0.0000 0.5000
0.2050 0.7950 0.5000
0.2145 0.7855 0.0000
0.2347 0.2407 0.7152
0.2407 0.2347 0.2848
0.7593 0.7653 0.2848
0.7653 0.7593 0.7152
0.7855 0.2145 0.0000
0.7950 0.2050 0.5000
```



Material: RbBeRe2O8
Method: DFT, PBE-GGA
State: relaxed

Energy relative to the elements, uncorrected   -1.68 eV per atom
Fermi-level density of states   5.33 states/eV/cell
Total magnetization   0.9 μB per formula unit

Geometry as POSCAR:
```
RbBeRe2O8
1.0
6.1836 -2.6203 0.0000
6.1836 2.6203 0.0000
-4.0359 0.0000 6.8009
Rb Be Re O
1 1 2 8
direct
0.0000 0.0000 0.0000
0.5000 0.5000 0.5000
0.1869 0.1869 0.6431
0.8131 0.8131 0.3569
0.1707 0.6251 0.3462
0.1811 0.1811 0.4161
0.3428 0.3428 0.8411
0.3749 0.8293 0.6538
0.6251 0.1707 0.3462
0.6572 0.6572 0.1589
0.8189 0.8189 0.5839
0.8293 0.3749 0.6538
```



Material: Tb2NdErTm6
Method: DFT, PBE-GGA
State: relaxed

ΔH_f (0 K)   117 kJ/mol of formula units
Fermi-level density of states   28.37 states/eV/cell
Total magnetization   0.0 μB per formula unit

Geometry as POSCAR:
```
Tb2NdErTm6
1.0
4.4913 -7.4628 0.0000
4.4913 7.4628 0.0000
-1.1734 0.0000 9.3728
Tb Nd Er Tm
4 2 2 12
direct
0.1957 0.3024 0.4538
0.3024 0.1957 0.9538
0.6976 0.8043 0.0462
0.8043 0.6976 0.5462
0.4758 0.5242 0.7500
0.5242 0.4758 0.2500
0.0904 0.9096 0.2500
0.9096 0.0904 0.7500
0.0082 0.7909 0.8825
0.0681 0.5193 0.6837
0.2091 0.9918 0.6175
0.2481 0.6262 0.0582
0.3738 0.7519 0.4418
0.4807 0.9319 0.8163
0.5193 0.0681 0.1837
0.6262 0.2481 0.5582
0.7519 0.3738 0.9418
0.7909 0.0082 0.3825
0.9319 0.4807 0.3163
0.9918 0.2091 0.1175
```



Material: HfSe2Br
Method: DFT, PBE-GGA
State: relaxed

Energy relative to the elements, uncorrected   -0.50 eV per atom
Energy above the lowest structure with this stoichiometry   350 meV/atom
Fermi-level density of states   11.67 states/eV/cell
Total magnetization   0.7 μB per formula unit

Geometry as POSCAR:
```
HfSe2Br
1.0
-3.5615 3.5615 5.4619
3.5615 -3.5615 5.4619
3.5615 3.5615 -5.4619
Hf Se Br
2 4 2
direct
0.0000 0.0000 0.0000
0.7500 0.2500 0.5000
0.0380 0.6250 0.9130
0.3750 0.2880 0.4130
0.7120 0.1250 0.0870
0.8750 0.9620 0.5870
0.2500 0.7500 0.5000
0.5000 0.5000 0.0000
```